# 1
Compound: Ac3Cu2BiO9
Source: Alexandria via LeMat-Bulk
Functional: PBE
Structure: optimized geometry

a b c (Å): 5.7494 5.7494 7.3200
angles (deg): 90.00 90.00 120.00
Element x y z (fractional)
Cu 0.6667 0.3333 0.8381
Cu 0.3333 0.6667 0.1619
Ac 0.6667 0.3333 0.2788
Ac 0.0000 0.0000 0.0000
Ac 0.3333 0.6667 0.7212
O 0.0000 0.5000 0.0000
O 0.5000 0.0000 0.0000
O 0.8328 0.6657 0.6892
O 0.3343 0.1672 0.6892
O 0.5000 0.5000 0.0000
O 0.8328 0.1672 0.6892
O 0.1672 0.8328 0.3108
O 0.6657 0.8328 0.3108
O 0.1672 0.3343 0.3108
Bi 0.0000 0.0000 0.5000

Computed properties:
For the density of states at the Fermi level, the calculation gives 0.13 states/eV/atom. The calculation puts the total moment at 0.000 μB/f.u. The formation energy from raw total energies is -2007.5 meV/atom.

# 2
Compound: Ac4Cu3BiO12
Source: Alexandria via LeMat-Bulk
Functional: PBE
Structure: optimized geometry

a b c (Å): 7.0314 7.0314 7.0314
angles (deg): 109.47 109.47 109.47
Element x y z (fractional)
O 0.7500 0.2500 0.5000
O 0.7396 0.0000 0.7396
O 0.0000 0.7396 0.7396
O 0.5000 0.7500 0.2500
O 0.2500 0.5000 0.7500
O 0.2604 0.2604 0.0000
O 0.7500 0.5000 0.2500
O 0.2604 0.0000 0.2604
O 0.7396 0.7396 0.0000
O 0.2500 0.7500 0.5000
O 0.5000 0.2500 0.7500
O 0.0000 0.2604 0.2604
Ac 0.0000 0.0000 0.5000
Ac 0.0000 0.5000 0.0000
Ac 0.5000 0.0000 0.0000
Ac 0.5000 0.5000 0.5000
Cu 0.0000 0.5000 0.5000
Cu 0.5000 0.5000 0.0000
Cu 0.5000 0.0000 0.5000
Bi 0.0000 0.0000 0.0000

Computed properties:
For the density of states at the Fermi level, the calculation gives 0.37 states/eV/atom. The calculation puts the total moment at 0.003 μB/f.u. The formation energy from raw total energies is -1963.3 meV/atom.

# 3
Compound: AcCuBiO
Source: Alexandria via LeMat-Bulk
Functional: PBE
Structure: optimized geometry

a b c (Å): 4.2205 4.2205 10.4818
angles (deg): 90.00 90.00 90.00
Element x y z (fractional)
Ac 0.0000 0.5000 0.8775
Ac 0.5000 0.0000 0.1225
Cu 0.0000 0.0000 0.5000
Cu 0.5000 0.5000 0.5000
O 0.0000 0.0000 0.0000
O 0.5000 0.5000 0.0000
Bi 0.5000 0.0000 0.6654
Bi 0.0000 0.5000 0.3346

Computed properties:
For the density of states at the Fermi level, the calculation gives 0.18 states/eV/atom. The calculation puts the total moment at 0.000 μB/f.u. The formation energy from raw total energies is -1532.3 meV/atom.

# 4
Compound: AcCuBiP
Source: Alexandria via LeMat-Bulk
Functional: PBE
Structure: optimized geometry

a b c (Å): 5.1736 5.1736 5.1736
angles (deg): 60.00 60.00 60.00
Element x y z (fractional)
Cu 0.2500 0.2500 0.2500
Ac 0.0000 0.0000 0.0000
P 0.7500 0.7500 0.7500
Bi 0.5000 0.5000 0.5000

Computed properties:
The calculation puts the formation enthalpy at 0 K at -0.25 eV/atom. For the density of states at the Fermi level, the calculation gives 0.77 states/eV/atom. The calculation puts the total moment at 0.000 μB/f.u.

# 5
Compound: Ac2CuBi4Pd3
Source: Alexandria via LeMat-Bulk
Functional: PBE
Structure: optimized geometry

a b c (Å): 4.8198 4.8198 11.2146
angles (deg): 90.00 90.00 90.00
Element x y z (fractional)
Pd 0.0000 0.0000 0.5000
Pd 0.0000 0.5000 0.1344
Pd 0.5000 0.0000 0.8656
Ac 0.5000 0.0000 0.2674
Ac 0.0000 0.5000 0.7326
Bi 0.0000 0.5000 0.3763
Bi 0.5000 0.5000 0.0000
Bi 0.5000 0.0000 0.6237
Bi 0.0000 0.0000 0.0000
Cu 0.5000 0.5000 0.5000

Computed properties:
The calculation puts the formation enthalpy at 0 K at -0.59 eV/atom. For the density of states at the Fermi level, the calculation gives 0.35 states/eV/atom. The calculation puts the total moment at 0.000 μB/f.u.

# 6
Compound: AcPmCuBi
Source: Alexandria via LeMat-Bulk
Functional: PBE
Structure: optimized geometry

a b c (Å): 5.5279 5.5279 5.5279
angles (deg): 60.00 60.00 60.00
Element x y z (fractional)
Ac 0.5000 0.5000 0.5000
Bi 0.2500 0.2500 0.2500
Pm 0.0000 0.0000 0.0000
Cu 0.7500 0.7500 0.7500

Computed properties:
The calculation puts the formation enthalpy at 0 K at -0.33 eV/atom. For the density of states at the Fermi level, the calculation gives 1.18 states/eV/atom. The calculation puts the total moment at 0.001 μB/f.u.

# 7
Compound: AcPrCuBi
Source: Alexandria via LeMat-Bulk
Functional: PBE
Structure: optimized geometry

a b c (Å): 5.5610 5.5610 5.5610
angles (deg): 60.00 60.00 60.00
Element x y z (fractional)
Pr 0.5000 0.5000 0.5000
Cu 0.2500 0.2500 0.2500
Ac 0.0000 0.0000 0.0000
Bi 0.7500 0.7500 0.7500

Computed properties:
The calculation puts the formation enthalpy at 0 K at -0.34 eV/atom. For the density of states at the Fermi level, the calculation gives 1.17 states/eV/atom. The calculation puts the total moment at 0.001 μB/f.u.

# 8
Compound: AcCuBiPt
Source: Alexandria via LeMat-Bulk
Functional: PBE
Structure: optimized geometry

a b c (Å): 5.1376 5.1376 5.1376
angles (deg): 60.00 60.00 60.00
Element x y z (fractional)
Ac 0.2500 0.2500 0.2500
Cu 0.5000 0.5000 0.5000
Pt 0.0000 0.0000 0.0000
Bi 0.7500 0.7500 0.7500

Computed properties:
The calculation puts the formation enthalpy at 0 K at -0.44 eV/atom. For the density of states at the Fermi level, the calculation gives 0.63 states/eV/atom. The calculation puts the total moment at 0.000 μB/f.u.

# 9
Compound: AcCuBiRh
Source: Alexandria via LeMat-Bulk
Functional: PBE
Structure: optimized geometry

a b c (Å): 5.0711 5.0711 5.0711
angles (deg): 60.00 60.00 60.00
Element x y z (fractional)
Rh 0.7500 0.7500 0.7500
Bi 0.0000 0.0000 0.0000
Ac 0.5000 0.5000 0.5000
Cu 0.2500 0.2500 0.2500

Computed properties:
The calculation puts the formation enthalpy at 0 K at -0.26 eV/atom. For the density of states at the Fermi level, the calculation gives 0.85 states/eV/atom. The calculation puts the total moment at 0.000 μB/f.u.

# 10
Compound: Ac2Cu2BiS6
Source: Alexandria via LeMat-Bulk
Functional: PBE
Structure: optimized geometry

a b c (Å): 7.0155 7.0155 8.1048
angles (deg): 64.35 64.35 60.00
Element x y z (fractional)
Cu 0.5695 0.5695 0.2916
Cu 0.4305 0.4305 0.7084
Ac 0.2053 0.2053 0.3842
Ac 0.7947 0.7947 0.6158
S 0.2125 0.7473 0.2929
S 0.2527 0.2527 0.7071
S 0.7473 0.7473 0.2929
S 0.2527 0.7875 0.7071
S 0.7875 0.2527 0.7071
S 0.7473 0.2125 0.2929
Bi 0.0000 0.0000 0.0000

Computed properties:
For the density of states at the Fermi level, the calculation gives 0.70 states/eV/atom. The calculation puts the total moment at 0.000 μB/f.u. The formation energy from raw total energies is -869.8 meV/atom.

# 11
Compound: AcCu2BiS4
Source: Alexandria via LeMat-Bulk
Functional: PBE
Structure: optimized geometry

a b c (Å): 6.7037 6.2467 6.2467
angles (deg): 69.57 57.55 57.55
Element x y z (fractional)
Cu 0.1743 0.3257 0.3257
Cu 0.8257 0.6743 0.6743
Ac 0.0000 0.0000 0.0000
S 0.0375 0.9073 0.5070
S 0.5482 0.5070 0.9073
S 0.9625 0.4930 0.0927
S 0.4518 0.0927 0.4930
Bi 0.5000 0.5000 0.5000

Computed properties:
The calculation puts the total moment at 0.000 μB/f.u. The formation energy from raw total energies is -768.4 meV/atom.

# 12
Compound: AcCuBiS4
Source: Alexandria via LeMat-Bulk
Functional: PBE
Structure: optimized geometry

a b c (Å): 6.9362 5.8395 8.3300
angles (deg): 90.00 107.35 90.00
Element x y z (fractional)
S 0.0235 0.5149 0.7569
S 0.0235 0.9851 0.7569
S 0.4202 0.7500 0.5837
S 0.5672 0.2500 0.8752
S 0.4328 0.7500 0.1248
S 0.9765 0.0149 0.2431
S 0.9765 0.4851 0.2431
S 0.5798 0.2500 0.4163
Cu 0.7785 0.2500 0.7059
Cu 0.2215 0.7500 0.2941
Ac 0.7374 0.7500 0.9280
Ac 0.2626 0.2500 0.0720
Bi 0.2793 0.2500 0.5762
Bi 0.7207 0.7500 0.4238

Computed properties:
For the density of states at the Fermi level, the calculation gives 0.27 states/eV/atom. The calculation puts the total moment at 0.000 μB/f.u. The formation energy from raw total energies is -899.0 meV/atom.

# 13
Compound: Ac2CuBiS5
Source: Alexandria via LeMat-Bulk
Functional: PBE
Structure: optimized geometry

a b c (Å): 4.1046 8.9024 12.2156
angles (deg): 90.00 90.00 103.33
Element x y z (fractional)
S 0.3578 0.7156 0.0005
S 0.6422 0.2844 0.5005
S 0.2942 0.5884 0.6598
S 0.7058 0.4117 0.1598
S 0.7005 0.4009 0.8375
S 0.4952 0.9904 0.2907
S 0.9631 0.9263 0.5578
S 0.0369 0.0737 0.0578
S 0.5048 0.0096 0.7907
S 0.2995 0.5991 0.3375
Ac 0.1193 0.2386 0.3073
Ac 0.1142 0.2284 0.6864
Ac 0.8807 0.7614 0.8073
Ac 0.8858 0.7716 0.1864
Cu 0.4998 0.9996 0.4818
Cu 0.5002 0.0004 0.9818
Bi 0.1887 0.3774 0.0022
Bi 0.8113 0.6226 0.5022

Computed properties:
The calculation puts the total moment at 0.000 μB/f.u. The formation energy from raw total energies is -1353.8 meV/atom.

# 14
Compound: Ac2Cu4Sn3Bi
Source: Alexandria via LeMat-Bulk
Functional: PBE
Structure: optimized geometry

a b c (Å): 4.6568 4.6568 10.8628
angles (deg): 90.00 90.00 90.00
Element x y z (fractional)
Cu 0.5000 0.5000 0.0000
Cu 0.0000 0.5000 0.3596
Cu 0.0000 0.0000 0.0000
Cu 0.5000 0.0000 0.6404
Ac 0.5000 0.0000 0.2298
Ac 0.0000 0.5000 0.7702
Bi 0.5000 0.5000 0.5000
Sn 0.0000 0.5000 0.1217
Sn 0.0000 0.0000 0.5000
Sn 0.5000 0.0000 0.8783

Computed properties:
The calculation puts the formation enthalpy at 0 K at -0.42 eV/atom. For the density of states at the Fermi level, the calculation gives 0.28 states/eV/atom. The calculation puts the total moment at 0.000 μB/f.u.

# 15
Compound: SrAcCuBi
Source: Alexandria via LeMat-Bulk
Functional: PBE
Structure: optimized geometry

a b c (Å): 5.6729 5.6729 5.6729
angles (deg): 60.00 60.00 60.00
Element x y z (fractional)
Sr 0.5000 0.5000 0.5000
Cu 0.2500 0.2500 0.2500
Bi 0.7500 0.7500 0.7500
Ac 0.0000 0.0000 0.0000

Computed properties:
The calculation puts the formation enthalpy at 0 K at -0.38 eV/atom. For the density of states at the Fermi level, the calculation gives 0.81 states/eV/atom. The calculation puts the total moment at 0.000 μB/f.u.

# 16
Compound: AcTlCuBi
Source: Alexandria via LeMat-Bulk
Functional: PBE
Structure: optimized geometry

a b c (Å): 5.4608 5.4608 5.4608
angles (deg): 60.00 60.00 60.00
Element x y z (fractional)
Tl 0.7500 0.7500 0.7500
Ac 0.0000 0.0000 0.0000
Bi 0.5000 0.5000 0.5000
Cu 0.2500 0.2500 0.2500

Computed properties:
The calculation puts the formation enthalpy at 0 K at -0.13 eV/atom. For the density of states at the Fermi level, the calculation gives 0.31 states/eV/atom. The calculation puts the total moment at 0.000 μB/f.u.

# 17
Compound: AcYCuBi
Source: Alexandria via LeMat-Bulk
Functional: PBE
Structure: optimized geometry

a b c (Å): 5.4789 5.4789 5.4789
angles (deg): 60.00 60.00 60.00
Element x y z (fractional)
Ac 0.7500 0.7500 0.7500
Bi 0.5000 0.5000 0.5000
Cu 0.0000 0.0000 0.0000
Y 0.2500 0.2500 0.2500

Computed properties:
The calculation puts the formation enthalpy at 0 K at -0.30 eV/atom. For the density of states at the Fermi level, the calculation gives 1.24 states/eV/atom. The calculation puts the total moment at 0.004 μB/f.u.

# 18
Compound: AcZnCuBi
Source: Alexandria via LeMat-Bulk
Functional: PBE
Structure: optimized geometry

a b c (Å): 5.2120 5.2120 5.2120
angles (deg): 60.00 60.00 60.00
Element x y z (fractional)
Cu 0.2500 0.2500 0.2500
Bi 0.0000 0.0000 0.0000
Ac 0.5000 0.5000 0.5000
Zn 0.7500 0.7500 0.7500

Computed properties:
The calculation puts the formation enthalpy at 0 K at -0.21 eV/atom. For the density of states at the Fermi level, the calculation gives 0.38 states/eV/atom. The calculation puts the total moment at 0.000 μB/f.u.

# 19
Compound: AcDyBi
Source: Alexandria via LeMat-Bulk
Functional: PBE
Structure: optimized geometry

a b c (Å): 4.1688 4.1688 6.7337
angles (deg): 108.03 108.03 90.00
Element x y z (fractional)
Ac 0.2773 0.2773 0.5546
Bi 0.5938 0.5938 0.1875
Dy 0.9789 0.9789 0.9578

Computed properties:
The calculation puts the formation enthalpy at 0 K at -0.46 eV/atom. For the density of states at the Fermi level, the calculation gives 0.91 states/eV/atom. The calculation puts the total moment at 0.969 μB/f.u. Its energy above the most stable polymorph in this dataset is 3.90 kcal/mol of atoms.

# 20
Compound: AcDyBi
Source: Alexandria via LeMat-Bulk
Functional: PBE
Structure: optimized geometry

a b c (Å): 4.3642 5.3670 5.3670
angles (deg): 120.00 90.00 90.00
Element x y z (fractional)
Bi 0.1648 0.0000 0.0000
Ac 0.6674 0.3333 0.6667
Dy 0.1678 0.6667 0.3333

Computed properties:
The calculation puts the formation enthalpy at 0 K at -0.33 eV/atom. For the density of states at the Fermi level, the calculation gives 1.55 states/eV/atom. The calculation puts the total moment at 0.005 μB/f.u. Its energy above the most stable polymorph in this dataset is 6.86 kcal/mol of atoms.